# RbNbSiMo2 | Alexandria via LeMat-Bulk | PBE | relaxed
# Total magnetization   1.5 μB/cell
# Energy   -5.467 eV per atom
data_RbNbSiMo2
_chemical_formula_sum 'Rb1 Nb1 Si1 Mo2'
_space_group_name_H-M_alt 'P 1'
_space_group_IT_number 1
_cell_length_a 4.802
_cell_length_b 5.715
_cell_length_c 4.802
_cell_angle_alpha 90.00
_cell_angle_beta 90.00
_cell_angle_gamma 90.00
loop_
_space_group_symop_operation_xyz
'x,y,z'
loop_
_atom_site_label
_atom_site_fract_x
_atom_site_fract_y
_atom_site_fract_z
Mo1 0.500 0.000 0.000
Mo2 0.000 0.000 0.500
Nb1 0.000 0.000 0.000
Si1 0.500 0.500 0.500
Rb1 0.000 0.500 0.000